A plane-wave DFT calculation with GGA-PBE was carried out for crystalline ZnGaSeN2 at its relaxed geometry. Values from VASP.

Properties
As for the space group: P4/mmm, No. 123. The relative energy among the computed polymorphs is 20.99 kJ/mol of atoms. The value obtained for the raw formation energy is 1.2859 eV/atom.

Cell and atoms, written as Quantum ESPRESSO input:
```
&SYSTEM
  ibrav = 0, nat = 5, ntyp = 4
/
ATOMIC_SPECIES
N 14.01 N.upf
Se 78.96 Se.upf
Zn 65.41 Zn.upf
Ga 69.72 Ga.upf
CELL_PARAMETERS angstrom
3.8986 0.0000 0.0000
0.0000 3.8986 0.0000
0.0000 0.0000 5.7791
ATOMIC_POSITIONS crystal
N 0.5000 0.0000 0.0000
N 0.0000 0.5000 0.0000
Se 0.0000 0.0000 0.5000
Zn 0.0000 0.0000 0.0000
Ga 0.5000 0.5000 0.5000
```

A plane-wave DFT calculation with GGA-PBE was carried out for crystalline LaPmSnN at its relaxed geometry. Values from VASP.

Properties
As for the space group: P4/nmm, No. 129. The value obtained for the raw formation energy is -0.9840 eV/atom.

Cell and atoms, written as Quantum ESPRESSO input:
```
&SYSTEM
  ibrav = 0, nat = 8, ntyp = 4
/
ATOMIC_SPECIES
Pm 145.00 Pm.upf
N 14.01 N.upf
La 138.91 La.upf
Sn 118.71 Sn.upf
CELL_PARAMETERS angstrom
-0.5495 -4.5079 1.4805
3.6052 0.5723 3.0806
-5.9757 2.8511 6.4635
ATOMIC_POSITIONS crystal
Pm 0.5000 0.0000 0.8312
Pm 0.0000 0.5000 0.1688
N 0.5000 0.0000 0.5872
N 0.0000 0.5000 0.4128
La 0.5000 0.5000 0.5000
La 0.0000 0.0000 0.5000
Sn 0.5000 0.0000 0.1928
Sn 0.0000 0.5000 0.8072
```

A plane-wave DFT calculation with GGA-PBE was carried out for crystalline Sm4CdTe3 at its relaxed geometry. Values from VASP.

Properties
As for the space group: Cmmm, No. 65. The value obtained for the raw formation energy is -1.1020 eV/atom.

Cell and atoms, written as Quantum ESPRESSO input:
```
&SYSTEM
  ibrav = 0, nat = 8, ntyp = 3
/
ATOMIC_SPECIES
Te 127.60 Te.upf
Cd 112.41 Cd.upf
Sm 150.36 Sm.upf
CELL_PARAMETERS angstrom
-1.1164 3.4357 -2.4112
1.9287 -3.8825 -6.4251
-7.4776 -1.3681 1.5128
ATOMIC_POSITIONS crystal
Te 0.5000 0.5000 0.5000
Te 0.0000 0.0000 0.5000
Te 0.0000 0.5000 0.0000
Cd 0.5000 0.0000 0.0000
Sm 0.0000 0.2463 0.2463
Sm 0.5000 0.2471 0.7529
Sm 0.5000 0.7529 0.2471
Sm 0.0000 0.7537 0.7537
```

A plane-wave DFT calculation with GGA-PBE was carried out for crystalline KNa2Au at its relaxed geometry. Values from VASP.

Properties
As for the space group: Fm-3m, No. 225. The relative energy among the computed polymorphs is 8.40 kJ/mol of atoms. The formation energy is -45 kJ/mol of formula units.

Cell and atoms, written as Quantum ESPRESSO input:
```
&SYSTEM
  ibrav = 0, nat = 4, ntyp = 3
/
ATOMIC_SPECIES
Na 22.99 Na.upf
Au 196.97 Au.upf
K 39.10 K.upf
CELL_PARAMETERS angstrom
1.2640 -5.3112 -0.1290
-2.7221 -3.3747 -3.3204
2.4834 -2.1101 -4.3822
ATOMIC_POSITIONS crystal
Na 0.2500 0.2500 0.2500
Na 0.7500 0.7500 0.7500
Au 0.5000 0.5000 0.5000
K 0.0000 0.0000 0.0000
```

A plane-wave DFT calculation with GGA-PBE was carried out for crystalline Sb2MoSe at its relaxed geometry. Values from VASP.

Properties
As for the space group: P4mm, No. 99. The value obtained for the raw formation energy is 0.0412 eV/atom.

Cell and atoms, written as Quantum ESPRESSO input:
```
&SYSTEM
  ibrav = 0, nat = 4, ntyp = 3
/
ATOMIC_SPECIES
Sb 121.76 Sb.upf
Mo 95.94 Mo.upf
Se 78.96 Se.upf
CELL_PARAMETERS angstrom
-0.7784 -0.0825 3.0913
2.9841 -0.8561 0.7285
2.2551 8.5374 0.7955
ATOMIC_POSITIONS crystal
Sb 0.0000 0.0000 0.9419
Sb 0.5000 0.5000 0.2533
Mo 0.5000 0.5000 0.7283
Se 0.0000 0.0000 0.5765
```

A plane-wave DFT calculation with GGA-PBE was carried out for crystalline NaTa3H at its relaxed geometry. Values from VASP.

Properties
As for the space group: Pm-3m, No. 221. The relative energy among the computed polymorphs is 0.00 kJ/mol of atoms.

Cell and atoms, written as Quantum ESPRESSO input:
```
&SYSTEM
  ibrav = 0, nat = 5, ntyp = 3
/
ATOMIC_SPECIES
Na 22.99 Na.upf
Ta 180.95 Ta.upf
H 1.01 H.upf
CELL_PARAMETERS angstrom
-0.2357 2.8283 -3.1772
1.4857 -2.9269 -2.7158
-3.9858 -1.2583 -0.8244
ATOMIC_POSITIONS crystal
Na 0.5000 0.5000 0.5000
Ta 0.0000 0.0000 0.5000
Ta 0.5000 0.0000 0.0000
Ta 0.0000 0.5000 0.0000
H 0.0000 0.0000 0.0000
```

A plane-wave DFT calculation with GGA-PBE was carried out for crystalline SbSe2NF at its relaxed geometry. Values from VASP.

Properties
As for the space group: P4/mmm, No. 123. The relative energy among the computed polymorphs is 19.13 kJ/mol of atoms. The value obtained for the raw formation energy is 1.0679 eV/atom.

Cell and atoms, written as Quantum ESPRESSO input:
```
&SYSTEM
  ibrav = 0, nat = 5, ntyp = 4
/
ATOMIC_SPECIES
Se 78.96 Se.upf
N 14.01 N.upf
Sb 121.76 Sb.upf
F 19.00 F.upf
CELL_PARAMETERS angstrom
4.7249 0.0000 0.0000
0.0000 4.7249 0.0000
0.0000 0.0000 4.1313
ATOMIC_POSITIONS crystal
Se 0.0000 0.5000 0.0000
Se 0.5000 0.0000 0.0000
N 0.0000 0.0000 0.5000
Sb 0.5000 0.5000 0.5000
F 0.0000 0.0000 0.0000
```

A plane-wave DFT calculation with GGA-PBE was carried out for crystalline LaRe2Se at its relaxed geometry. Values from VASP.

Properties
As for the space group: F-43m, No. 216. The value obtained for the raw formation energy is 0.6481 eV/atom.

Cell and atoms, written as Quantum ESPRESSO input:
```
&SYSTEM
  ibrav = 0, nat = 4, ntyp = 3
/
ATOMIC_SPECIES
Re 186.21 Re.upf
Se 78.96 Se.upf
La 138.91 La.upf
CELL_PARAMETERS angstrom
-3.4890 3.2236 -0.4491
-2.8492 0.9635 3.7041
0.3322 4.2022 2.2355
ATOMIC_POSITIONS crystal
Re 0.2500 0.2500 0.2500
Re 0.0000 0.0000 0.0000
Se 0.7500 0.7500 0.7500
La 0.5000 0.5000 0.5000
```

A plane-wave DFT calculation with GGA-PBE was carried out for crystalline NdDy4Ho2 at its relaxed geometry. Values from VASP.

Properties
As for the space group: P2_1/m, No. 11. The relative energy among the computed polymorphs is 9.03 kJ/mol of atoms. The formation energy is 86 kJ/mol of formula units.

Cell and atoms, written as Quantum ESPRESSO input:
```
&SYSTEM
  ibrav = 0, nat = 14, ntyp = 3
/
ATOMIC_SPECIES
Dy 162.50 Dy.upf
Ho 164.93 Ho.upf
Nd 144.24 Nd.upf
CELL_PARAMETERS angstrom
6.0961 0.0000 -0.3977
0.0000 6.5552 0.0000
-2.5649 0.0000 11.3498
ATOMIC_POSITIONS crystal
Dy 0.6383 0.4921 0.2887
Dy 0.3617 0.9921 0.7113
Dy 0.8609 0.2500 0.5746
Dy 0.1391 0.7500 0.4254
Dy 0.3617 0.5079 0.7113
Dy 0.9863 0.7500 0.8370
Dy 0.0137 0.2500 0.1630
Dy 0.6383 0.0079 0.2887
Ho 0.6103 0.7500 0.0062
Ho 0.3897 0.2500 0.9938
Ho 0.2968 0.2500 0.4487
Ho 0.7032 0.7500 0.5513
Nd 0.1779 0.7500 0.1386
Nd 0.8221 0.2500 0.8614
```

A plane-wave DFT calculation with GGA-PBE was carried out for crystalline Li3Ag4Hg2 at its relaxed geometry. Values from VASP.

Properties
As for the space group: C2/c, No. 15. The formation energy is -86 kJ/mol of formula units.

Cell and atoms, written as Quantum ESPRESSO input:
```
&SYSTEM
  ibrav = 0, nat = 18, ntyp = 3
/
ATOMIC_SPECIES
Ag 107.87 Ag.upf
Hg 200.59 Hg.upf
Li 6.94 Li.upf
CELL_PARAMETERS angstrom
-0.4929 -2.8497 3.5122
-2.5273 -6.7222 -6.5644
9.0217 2.5627 2.5897
ATOMIC_POSITIONS crystal
Ag 0.9583 0.5819 0.6849
Ag 0.4644 0.8265 0.9387
Ag 0.5417 0.3151 0.4181
Ag 0.0356 0.0613 0.1735
Ag 0.9644 0.9387 0.8265
Ag 0.5356 0.1735 0.0613
Ag 0.0417 0.4181 0.3151
Ag 0.4583 0.6849 0.5819
Hg 0.3076 0.4931 0.8710
Hg 0.8076 0.8710 0.4931
Hg 0.1924 0.1290 0.5069
Hg 0.6924 0.5069 0.1290
Li 0.7500 0.3035 0.6965
Li 0.2500 0.6965 0.3035
Li 0.5836 0.9643 0.2822
Li 0.4164 0.0357 0.7178
Li 0.9164 0.7178 0.0357
Li 0.0836 0.2822 0.9642
```

A plane-wave DFT calculation with GGA-PBE was carried out for crystalline V2Tc at its relaxed geometry. Values from VASP.

Properties
As for the space group: P4_2/mnm, No. 136. The relative energy among the computed polymorphs is 112.03 kJ/mol of atoms. The formation energy is 239 kJ/mol of formula units.

Cell and atoms, written as Quantum ESPRESSO input:
```
&SYSTEM
  ibrav = 0, nat = 6, ntyp = 2
/
ATOMIC_SPECIES
V 50.94 V.upf
Tc 98.00 Tc.upf
CELL_PARAMETERS angstrom
2.8687 -0.0003 -0.0004
-0.0008 6.0769 -0.0002
-0.0011 0.0003 6.0780
ATOMIC_POSITIONS crystal
V 0.5000 0.2673 0.7328
V 0.9998 0.7673 0.7673
V 0.5000 0.7327 0.2672
V 0.0002 0.2327 0.2327
Tc 0.0000 0.5000 0.5000
Tc 0.5000 0.0000 0.0000
```

A plane-wave DFT calculation with GGA-PBE was carried out for crystalline KGe3P at its relaxed geometry. Values from VASP.

Properties
As for the space group: Pm-3m, No. 221. The relative energy among the computed polymorphs is 37.87 kJ/mol of atoms. The formation energy is 203 kJ/mol of formula units.

Cell and atoms, written as Quantum ESPRESSO input:
```
&SYSTEM
  ibrav = 0, nat = 5, ntyp = 3
/
ATOMIC_SPECIES
Ge 72.64 Ge.upf
P 30.97 P.upf
K 39.10 K.upf
CELL_PARAMETERS angstrom
-1.2696 -1.5464 -4.6304
2.8135 -4.1417 0.6118
-3.9895 -2.4288 1.9050
ATOMIC_POSITIONS crystal
Ge 0.0000 0.5000 0.0000
Ge 0.5000 0.0000 0.0000
Ge 0.0000 0.0000 0.5000
P 0.0000 0.0000 0.0000
K 0.5000 0.5000 0.5000
```